Below is a crystal of CaBeRe2 relaxed with PBEsol, with properties calculated at the SCAN level.

Cell: 3.105 4.322 4.605 Å, 90.00 90.00 90.00°
Positions (direct):
Re: 0.000 0.000 0.000
Re: 0.500 0.500 0.000
Ca: 0.000 0.500 0.500
Be: 0.500 0.000 0.500

Computed properties:
Crystal system: orthorhombic
Energy of formation in meV/atom: 660
E_tot in Ry/atom: -2.822
Theoretical density in Mg/m³: 11.33

Below is a crystal of Sr2SbW relaxed with PBEsol, with properties calculated at the SCAN level.

Cell: 3.209 3.209 10.054 Å, 90.00 90.00 90.02°
Positions (direct):
Sb: 0.500 0.500 0.000
Sr: 0.000 0.000 0.258
Sr: 0.000 0.000 0.742
W: 0.500 0.500 0.500

Computed properties:
Crystal system: tetragonal
Formation energy from raw total energies in kJ/mol of atoms: 53.6
E_tot in Ry/atom: -2.743
Theoretical density in Mg/m³: 7.71

Below is a crystal of Y2OsAu relaxed with PBEsol, with properties calculated at the SCAN level.

Cell: 3.461 4.859 4.859 Å, 90.00 90.00 90.00°
Positions (direct):
Au: 0.500 0.500 0.500
Os: 0.500 0.000 0.000
Y: 0.000 0.000 0.500
Y: 0.000 0.500 0.000

Computed properties:
Crystal system: tetragonal
Energy of formation in meV/atom: -661
E_tot in Ry/atom: -3.663
Theoretical density in Mg/m³: 11.48

Below is a crystal of ErH3 relaxed with PBEsol, with properties calculated at the SCAN level.

Cell: 6.133 6.133 6.360 Å, 90.00 90.00 120.00°
Positions (direct):
H: 0.975 0.652 0.406
H: 0.678 0.025 0.406
H: 0.348 0.322 0.406
H: 0.652 0.975 0.094
H: 0.025 0.678 0.094
H: 0.322 0.348 0.094
H: 0.025 0.348 0.594
H: 0.322 0.975 0.594
H: 0.652 0.678 0.594
H: 0.348 0.025 0.906
H: 0.975 0.322 0.906
H: 0.678 0.652 0.906
H: 0.333 0.667 0.321
H: 0.667 0.333 0.179
H: 0.667 0.333 0.679
H: 0.333 0.667 0.821
H: 0.000 0.000 0.250
H: 0.000 0.000 0.750
Er: 0.000 0.336 0.250
Er: 0.336 0.000 0.250
Er: 0.664 0.664 0.250
Er: 0.000 0.664 0.750
Er: 0.664 0.000 0.750
Er: 0.336 0.336 0.750

Computed properties:
Distance to the lowest polymorph of the same formula in eV/f.u.: 0.000
Crystal system: trigonal
E_tot in Ry/atom: -1.168
Theoretical density in Mg/m³: 8.19

Below is a crystal of MnTePb2 relaxed with PBEsol, with properties calculated at the SCAN level.

Cell: 3.901 3.901 6.674 Å, 90.00 90.00 90.00°
Positions (direct):
Mn: 0.500 0.500 0.500
Pb: 0.000 0.000 0.729
Pb: 0.000 0.000 0.271
Te: 0.500 0.500 0.000

Computed properties:
Crystal system: tetragonal
Formation energy from raw total energies in kJ/mol of atoms: 14.4
E_tot in Ry/atom: -3.794
Theoretical density in Mg/m³: 9.76

Below is a crystal of Ni3W relaxed with PBEsol, with properties calculated at the SCAN level.

Cell: 4.537 4.537 4.537 Å, 90.00 90.00 90.00°
Positions (direct):
Ni: 0.000 0.250 0.500
Ni: 0.000 0.750 0.500
Ni: 0.250 0.500 0.000
Ni: 0.500 0.000 0.250
Ni: 0.500 0.000 0.750
Ni: 0.750 0.500 0.000
W: 0.000 0.000 0.000
W: 0.500 0.500 0.500

Computed properties:
Crystal system: cubic
Energy of formation in meV/atom: -16
E_tot in Ry/atom: -2.173
Theoretical density in Mg/m³: 12.80

Below is a crystal of Cd4Tc relaxed with PBEsol, with properties calculated at the SCAN level.

Cell: 3.773 3.773 7.614 Å, 104.35 104.35 90.00°
Positions (direct):
Cd: 0.750 0.250 0.500
Cd: 0.408 0.408 0.815
Cd: 0.592 0.592 0.185
Cd: 0.250 0.750 0.500
Tc: 0.000 0.000 0.000

Computed properties:
Crystal system: tetragonal
Energy of formation in meV/atom: 643
E_tot in Ry/atom: -2.256
Theoretical density in Mg/m³: 8.96

Below is a crystal of RbNa2Au relaxed with PBEsol, with properties calculated at the SCAN level.

Cell: 4.877 4.877 11.884 Å, 101.84 101.84 90.00°
Positions (direct):
Na: 0.320 0.875 0.250
Na: 0.930 0.375 0.250
Na: 0.125 0.070 0.750
Na: 0.625 0.680 0.750
Au: 0.250 0.750 0.500
Au: 0.000 0.000 0.000
Rb: 0.750 0.250 0.500
Rb: 0.500 0.500 0.000

Computed properties:
Crystal system: tetragonal
Energy of formation in meV/atom: -86
E_tot in Ry/atom: -1.813
Theoretical density in Mg/m³: 4.03

Below is a crystal of Ba6Nd2YMo3O18 relaxed with PBEsol, with properties calculated at the SCAN level.

Cell: 5.956 8.492 10.344 Å, 114.23 106.72 90.00°
Positions (direct):
Ba: 0.663 0.418 0.329
Ba: 0.000 0.745 0.000
Ba: 0.337 0.088 0.671
Ba: 0.000 0.255 0.000
Ba: 0.337 0.582 0.671
Ba: 0.663 0.912 0.329
Nd: 0.167 0.167 0.334
Nd: 0.833 0.833 0.666
Y: 0.500 0.500 0.000
Mo: 0.500 0.000 0.000
Mo: 0.837 0.335 0.670
Mo: 0.163 0.665 0.330
O: 0.164 0.435 0.329
O: 0.500 0.766 0.000
O: 0.836 0.106 0.671
O: 0.500 0.234 0.000
O: 0.836 0.565 0.671
O: 0.164 0.894 0.329
O: 0.453 0.749 0.499
O: 0.135 0.420 0.839
O: 0.782 0.087 0.174
O: 0.218 0.913 0.826
O: 0.865 0.580 0.161
O: 0.547 0.251 0.501
O: 0.306 0.066 0.131
O: 0.977 0.733 0.465
O: 0.652 0.406 0.812
O: 0.694 0.934 0.869
O: 0.348 0.594 0.188
O: 0.023 0.267 0.535

Computed properties:
Crystal system: monoclinic
Formation energy from raw total energies in kJ/mol of atoms: -289.6
E_tot in Ry/atom: -1.615
Theoretical density in Mg/m³: 6.52

Below is a crystal of LiHI2 relaxed with PBEsol, with properties calculated at the SCAN level.

Cell: 5.118 5.118 5.118 Å, 60.00 60.00 60.00°
Positions (direct):
I: 0.250 0.250 0.250
I: 0.750 0.750 0.750
H: 0.000 0.000 0.000
Li: 0.500 0.500 0.500

Computed properties:
Crystal system: cubic
E_tot in Ry/atom: -1.446
Theoretical density in Mg/m³: 4.59

Below is a crystal of ZrBe2Re2 relaxed with PBEsol, with properties calculated at the SCAN level.

Cell: 4.170 4.170 5.029 Å, 114.50 114.50 90.00°
Positions (direct):
Re: 0.352 0.352 0.705
Re: 0.648 0.648 0.295
Zr: 0.000 0.000 0.000
Be: 0.250 0.750 0.500
Be: 0.750 0.250 0.500

Computed properties:
Crystal system: tetragonal
Energy of formation in meV/atom: 17
E_tot in Ry/atom: -2.668
Theoretical density in Mg/m³: 11.29

Below is a crystal of AlAg3 relaxed with PBEsol, with properties calculated at the SCAN level.

Cell: 5.092 5.092 5.092 Å, 90.00 90.00 90.00°
Positions (direct):
Al: 0.000 0.000 0.000
Al: 0.500 0.500 0.500
Ag: 0.750 0.500 0.000
Ag: 0.250 0.500 0.000
Ag: 0.000 0.750 0.500
Ag: 0.000 0.250 0.500
Ag: 0.500 0.000 0.250
Ag: 0.500 0.000 0.750

Computed properties:
Crystal system: cubic
Energy of formation in meV/atom: -14
E_tot in Ry/atom: -1.873
Theoretical density in Mg/m³: 8.82

Below is a crystal of BeCd2Si relaxed with PBEsol, with properties calculated at the SCAN level.

Cell: 4.618 4.618 4.618 Å, 60.00 60.00 60.00°
Positions (direct):
Be: 0.500 0.500 0.500
Si: 0.750 0.750 0.750
Cd: 0.000 0.000 0.000
Cd: 0.250 0.250 0.250

Computed properties:
Distance to the lowest polymorph of the same formula in eV/f.u.: 1.447
Crystal system: cubic
Formation energy from raw total energies in kJ/mol of atoms: 64.2
E_tot in Ry/atom: -1.333
Theoretical density in Mg/m³: 6.25

Below is a crystal of LaZr2In relaxed with PBEsol, with properties calculated at the SCAN level.

Cell: 3.241 5.239 5.839 Å, 90.00 96.39 90.00°
Positions (direct):
In: 0.500 0.500 0.000
La: 0.000 0.500 0.500
Zr: 0.697 0.000 0.767
Zr: 0.303 0.000 0.233

Computed properties:
Crystal system: monoclinic
Energy of formation in meV/atom: -44
E_tot in Ry/atom: -2.537
Theoretical density in Mg/m³: 7.35

Below is a crystal of ReNi2Pt relaxed with PBEsol, with properties calculated at the SCAN level.

Cell: 2.645 4.444 4.549 Å, 99.89 106.87 90.02°
Positions (direct):
Re: 0.747 0.241 0.495
Pt: 0.500 0.500 0.001
Ni: 0.999 0.999 0.998
Ni: 0.253 0.760 0.506

Computed properties:
Distance to the lowest polymorph of the same formula in eV/f.u.: 0.095
Crystal system: monoclinic
Energy of formation in meV/atom: -42
E_tot in Ry/atom: -3.194
Theoretical density in Mg/m³: 16.45

Below is a crystal of Zn4Ru relaxed with PBEsol, with properties calculated at the SCAN level.

Cell: 3.455 4.734 4.734 Å, 82.35 68.60 68.60°
Positions (direct):
Ru: 0.000 0.000 0.000
Zn: 0.396 0.402 0.806
Zn: 0.604 0.598 0.194
Zn: 0.798 0.806 0.598
Zn: 0.202 0.194 0.402

Computed properties:
Crystal system: tetragonal
Energy of formation in meV/atom: -80
E_tot in Ry/atom: -1.313
Theoretical density in Mg/m³: 8.97

Below is a crystal of BeAuCl2 relaxed with PBEsol, with properties calculated at the SCAN level.

Cell: 2.903 3.139 9.300 Å, 97.29 90.00 90.00°
Positions (direct):
Be: 0.500 0.500 0.000
Au: 0.500 0.000 0.500
Cl: 0.000 0.619 0.852
Cl: 0.000 0.381 0.148

Computed properties:
Distance to the lowest polymorph of the same formula in eV/f.u.: 0.844
Crystal system: monoclinic
Formation energy from raw total energies in kJ/mol of atoms: -46.1
E_tot in Ry/atom: -1.679
Theoretical density in Mg/m³: 5.47

Below is a crystal of Ca2ReSi relaxed with PBEsol, with properties calculated at the SCAN level.

Cell: 3.588 4.931 5.743 Å, 115.43 108.20 90.00°
Positions (direct):
Ca: 0.971 0.971 0.942
Ca: 0.764 0.264 0.528
Re: 0.555 0.555 0.110
Si: 0.210 0.710 0.420

Computed properties:
Crystal system: orthorhombic
Formation energy from raw total energies in kJ/mol of atoms: 13.9
E_tot in Ry/atom: -1.835
Theoretical density in Mg/m³: 5.68

Below is a crystal of KMnCdC2 relaxed with PBEsol, with properties calculated at the SCAN level.

Cell: 3.878 3.878 4.935 Å, 90.00 90.00 90.00°
Positions (direct):
K: 0.500 0.500 0.500
Mn: 0.000 0.000 0.000
C: 0.000 0.500 0.000
C: 0.500 0.000 0.000
Cd: 0.000 0.000 0.500

Computed properties:
Crystal system: tetragonal
Energy of formation in meV/atom: 1140
E_tot in Ry/atom: -1.051
Theoretical density in Mg/m³: 5.16

Below is a crystal of Li3AlCrO5 relaxed with PBEsol, with properties calculated at the SCAN level.

Cell: 4.842 5.368 15.868 Å, 90.00 90.00 90.00°
Positions (direct):
Li: 0.012 0.667 0.601
Li: 0.012 0.167 0.899
Li: 0.013 0.665 0.000
Li: 0.013 0.165 0.500
Li: 0.500 0.329 0.800
Li: 0.500 0.829 0.700
Li: 0.512 0.333 0.399
Li: 0.512 0.833 0.101
Li: 0.513 0.335 0.000
Li: 0.513 0.835 0.500
Li: 0.000 0.171 0.300
Li: 0.000 0.671 0.200
Al: 0.998 0.164 0.702
Al: 0.998 0.664 0.798
Al: 0.498 0.336 0.202
Al: 0.498 0.836 0.298
Cr: 0.009 0.165 0.097
Cr: 0.009 0.665 0.403
Cr: 0.509 0.335 0.597
Cr: 0.509 0.835 0.903
O: 0.094 0.348 0.790
O: 0.094 0.848 0.710
O: 0.108 0.314 0.006
O: 0.108 0.814 0.494
O: 0.105 0.357 0.399
O: 0.105 0.857 0.101
O: 0.130 0.324 0.193
O: 0.130 0.824 0.307
O: 0.134 0.307 0.610
O: 0.134 0.807 0.890
O: 0.594 0.652 0.210
O: 0.594 0.152 0.290
O: 0.608 0.186 0.506
O: 0.608 0.686 0.994
O: 0.605 0.143 0.899
O: 0.605 0.643 0.601
O: 0.630 0.176 0.693
O: 0.630 0.676 0.807
O: 0.634 0.193 0.110
O: 0.634 0.693 0.390

Computed properties:
Crystal system: orthorhombic
Formation energy from raw total energies in kJ/mol of atoms: -246.8
E_tot in Ry/atom: -0.662
Theoretical density in Mg/m³: 2.90

Below is a crystal of AlAsSe2 relaxed with PBEsol, with properties calculated at the SCAN level.

Cell: 2.834 2.834 10.093 Å, 90.00 90.00 104.20°
Positions (direct):
As: 0.500 0.500 0.298
Al: 0.000 0.000 0.497
Se: 0.000 0.000 0.007
Se: 0.500 0.500 0.697

Computed properties:
Distance to the lowest polymorph of the same formula in eV/f.u.: 0.160
Crystal system: orthorhombic
Formation energy from raw total energies in kJ/mol of atoms: 24.0
E_tot in Ry/atom: -1.233
Theoretical density in Mg/m³: 5.49

Below is a crystal of ZrBe2InIr relaxed with PBEsol, with properties calculated at the SCAN level.

Cell: 4.333 4.333 5.228 Å, 90.00 90.00 90.00°
Positions (direct):
Be: 0.000 0.500 0.000
Be: 0.500 0.000 0.000
Ir: 0.500 0.500 0.500
Zr: 0.000 0.000 0.000
In: 0.000 0.000 0.500

Computed properties:
Crystal system: tetragonal
Energy of formation in meV/atom: 2027
E_tot in Ry/atom: -1.966
Theoretical density in Mg/m³: 7.04

Below is a crystal of LaReW relaxed with PBEsol, with properties calculated at the SCAN level.

Cell: 4.536 4.536 4.536 Å, 60.00 60.00 60.00°
Positions (direct):
La: 0.500 0.500 0.500
Re: 0.250 0.250 0.250
W: 0.000 0.000 0.000

Computed properties:
Crystal system: cubic
Energy of formation in meV/atom: 938
E_tot in Ry/atom: -4.436
Theoretical density in Mg/m³: 12.80

Below is a crystal of ScPW4 relaxed with PBEsol, with properties calculated at the SCAN level.

Cell: 5.266 5.266 5.266 Å, 60.00 60.00 60.00°
Positions (direct):
P: 0.250 0.250 0.250
Sc: 0.000 0.000 0.000
W: 0.625 0.625 0.125
W: 0.125 0.625 0.625
W: 0.625 0.125 0.625
W: 0.625 0.625 0.625

Computed properties:
Crystal system: cubic
Energy of formation in meV/atom: 547
E_tot in Ry/atom: -3.676
Theoretical density in Mg/m³: 13.05